NaTePdAuS2 | GGA-PBE | relaxed

Lattice parameters (Å, degrees): 7.914 7.914 10.544 90.00 90.00 154.19
Atoms (fractional coordinates):
Na  0.232  0.768  0.750
Na  0.768  0.232  0.250
Te  0.435  0.565  0.250
Te  0.565  0.435  0.750
Pd  0.500  0.500  0.000
Pd  0.500  0.500  0.500
Au  0.115  0.885  0.250
Au  0.885  0.115  0.750
S  0.106  0.894  0.029
S  0.106  0.894  0.471
S  0.894  0.106  0.529
S  0.894  0.106  0.971

uncorrected energy: -3.837 eV per atom
SG: No. 63